Record 1
Here is crystalline RePt12Rh3 at its relaxed geometry from Alexandria via LeMat-Bulk. Energies are from PBE.

Cell lengths 3.9388, 3.9388, 15.7977 Å; angles 90.00, 90.00, 90.00 degrees
Fractional positions:
Rh: 0.0000 0.0000 0.5000
Rh: 0.0000 0.0000 0.2521
Rh: 0.0000 0.0000 0.7479
Pt: 0.0000 0.5000 0.1224
Pt: 0.0000 0.5000 0.6246
Pt: 0.5000 0.5000 0.5000
Pt: 0.5000 0.5000 0.0000
Pt: 0.5000 0.5000 0.2494
Pt: 0.5000 0.0000 0.6246
Pt: 0.5000 0.0000 0.8776
Pt: 0.5000 0.0000 0.3754
Pt: 0.0000 0.5000 0.8776
Pt: 0.0000 0.5000 0.3754
Pt: 0.5000 0.0000 0.1224
Pt: 0.5000 0.5000 0.7506
Re: 0.0000 0.0000 0.0000

Summary:
Its formation energy is -0.0196 eV per atom. For the calculated total energy, the calculation gives -6.71 eV/atom.

Record 2
Here is crystalline RePtRh2 at its relaxed geometry from Alexandria via LeMat-Bulk. Energies are from PBE.

Cell lengths 3.2996, 3.2996, 5.5058 Å; angles 90.00, 90.00, 90.00 degrees
Fractional positions:
Re: 0.5000 0.5000 0.5000
Pt: 0.5000 0.5000 0.0000
Rh: 0.0000 0.0000 0.2600
Rh: 0.0000 0.0000 0.7400

Summary:
Its formation energy is 0.1441 eV per atom. For the calculated total energy, the calculation gives -8.15 eV/atom.

Record 3
Here is crystalline RePtRh3 at its relaxed geometry from Alexandria via LeMat-Bulk. Energies are from PBE.

Cell lengths 4.6392, 4.6392, 4.6392 Å; angles 90.00, 90.00, 90.00 degrees
Fractional positions:
Pt: 0.5000 0.5000 0.5000
Rh: 0.0000 0.5000 0.0000
Rh: 0.0000 0.0000 0.5000
Rh: 0.5000 0.0000 0.0000
Re: 0.0000 0.0000 0.0000

Summary:
Its formation energy is 1.3866 eV per atom. For the calculated total energy, the calculation gives -6.72 eV/atom.

Record 4
Here is crystalline RePtRh2 at its relaxed geometry from Alexandria via LeMat-Bulk. Energies are from PBE.

Cell lengths 9.1305, 9.1305, 9.1305 Å; angles 17.35, 17.35, 17.35 degrees
Site moments in Bohr magnetons follow the coordinates.
Fractional positions:
Rh: 0.9976 0.9976 0.9976  0.09
Rh: 0.7487 0.7487 0.7487  0.58
Pt: 0.5015 0.5015 0.5015  0.03
Re: 0.2522 0.2522 0.2522  -0.06

Summary:
Its formation energy is -0.0283 eV per atom. For the calculated total energy, the calculation gives -8.33 eV/atom.

Record 5
Here is crystalline RePt3Rh7 at its relaxed geometry from Alexandria via LeMat-Bulk. Energies are from PBE.

Cell lengths 4.6772, 6.6699, 6.6699 Å; angles 91.36, 110.81, 110.81 degrees
Fractional positions:
Rh: 0.0000 0.5000 0.5000
Rh: 0.1907 0.1831 0.1831
Rh: 0.8093 0.8169 0.8169
Rh: 0.6648 0.4227 0.9042
Rh: 0.6648 0.9042 0.4227
Rh: 0.3352 0.5773 0.0958
Rh: 0.3352 0.0958 0.5773
Pt: 0.0000 0.7727 0.2273
Pt: 0.5000 0.0000 0.0000
Pt: 0.0000 0.2273 0.7727
Re: 0.5000 0.5000 0.5000

Summary:
Its formation energy is 0.3515 eV per atom. For the calculated total energy, the calculation gives -7.11 eV/atom.

Record 6
Here is crystalline RePt3Rh3 at its relaxed geometry from Alexandria via LeMat-Bulk. Energies are from PBE.

Cell lengths 2.6517, 11.3428, 11.3428 Å; angles 120.00, 90.00, 90.00 degrees
Fractional positions:
Pt: 0.2500 0.7293 0.5909
Pt: 0.2500 0.8616 0.2707
Pt: 0.7500 0.1384 0.7293
Pt: 0.2500 0.4091 0.1384
Pt: 0.7500 0.5909 0.8616
Pt: 0.7500 0.2707 0.4091
Re: 0.2500 0.6667 0.3333
Re: 0.7500 0.3333 0.6667
Rh: 0.7500 0.5332 0.6146
Rh: 0.7500 0.0814 0.4668
Rh: 0.2500 0.9186 0.5332
Rh: 0.7500 0.3854 0.9186
Rh: 0.2500 0.4668 0.3854
Rh: 0.2500 0.6146 0.0814

Summary:
Its formation energy is 0.4975 eV per atom. For the calculated total energy, the calculation gives -7.02 eV/atom.

Record 7
Here is crystalline RePtRh at its relaxed geometry from Alexandria via LeMat-Bulk. Energies are from PBE.

Cell lengths 6.2226, 6.2226, 2.7500 Å; angles 77.23, 77.23, 25.53 degrees
Fractional positions:
Re: 0.6702 0.6702 0.3298
Pt: 0.0049 0.0050 0.9951
Rh: 0.3249 0.3248 0.6751

Summary:
Its formation energy is -0.1102 eV per atom. For the calculated total energy, the calculation gives -8.72 eV/atom.

Record 8
Here is crystalline RePt3Rh at its relaxed geometry from Alexandria via LeMat-Bulk. Energies are from PBE.

Cell lengths 4.7682, 4.7682, 4.7682 Å; angles 90.00, 90.00, 90.00 degrees
Fractional positions:
Pt: 0.0000 0.5000 0.0000
Pt: 0.0000 0.0000 0.5000
Pt: 0.5000 0.0000 0.0000
Rh: 0.5000 0.5000 0.5000
Re: 0.0000 0.0000 0.0000

Summary:
Its formation energy is 1.5071 eV per atom. For the calculated total energy, the calculation gives -6.08 eV/atom.

Record 9
Here is crystalline RePt2Rh8 at its relaxed geometry from Alexandria via LeMat-Bulk. Energies are from PBE.

Cell lengths 4.4938, 6.2861, 7.0614 Å; angles 112.36, 103.17, 101.72 degrees
Fractional positions:
Re: 0.5000 0.0000 0.0000
Pt: 0.6911 0.6911 0.3822
Pt: 0.3089 0.3089 0.6178
Rh: 0.7041 0.2041 0.4082
Rh: 0.0440 0.9061 0.2181
Rh: 0.2834 0.5922 0.0000
Rh: 0.2959 0.7959 0.5918
Rh: 0.9560 0.0939 0.7819
Rh: 0.7166 0.4078 0.0000
Rh: 0.8258 0.6880 0.7819
Rh: 0.1742 0.3120 0.2181

Summary:
Its formation energy is 0.2786 eV per atom. For the calculated total energy, the calculation gives -7.30 eV/atom.

Record 10
Here is crystalline RePtRh at its relaxed geometry from Alexandria via LeMat-Bulk. Energies are from PBE.

Cell lengths 2.7599, 4.7771, 7.3143 Å; angles 89.95, 112.17, 90.00 degrees
Fractional positions:
Pt: 0.0771 0.0847 0.8268
Pt: 0.9229 0.9153 0.1732
Re: 0.7496 0.7448 0.5000
Re: 0.2504 0.2552 0.5000
Rh: 0.5729 0.5839 0.8228
Rh: 0.4271 0.4161 0.1772

Summary:
Its formation energy is -0.0911 eV per atom. For the calculated total energy, the calculation gives -8.70 eV/atom.

Record 11
Here is crystalline Re2Pt2Rh15 at its relaxed geometry from Alexandria via LeMat-Bulk. Energies are from PBE.

Cell lengths 6.7614, 6.7614, 6.7614 Å; angles 80.25, 80.25, 80.25 degrees
Fractional positions:
Rh: 0.6748 0.0000 0.3252
Rh: 0.0000 0.0000 0.5000
Rh: 0.0000 0.5000 0.0000
Rh: 0.0000 0.6748 0.3252
Rh: 0.6616 0.6616 0.1605
Rh: 0.8395 0.3384 0.3384
Rh: 0.3252 0.6748 0.0000
Rh: 0.1605 0.6616 0.6616
Rh: 0.0000 0.3252 0.6748
Rh: 0.5000 0.0000 0.0000
Rh: 0.6748 0.3252 0.0000
Rh: 0.3252 0.0000 0.6748
Rh: 0.3384 0.3384 0.8395
Rh: 0.6616 0.1605 0.6616
Rh: 0.3384 0.8395 0.3384
Pt: 0.2929 0.2929 0.2929
Pt: 0.7071 0.7071 0.7071
Re: 0.0884 0.0884 0.0884
Re: 0.9116 0.9116 0.9116

Summary:
Its formation energy is 0.3409 eV per atom. For the calculated total energy, the calculation gives -7.41 eV/atom.

Record 12
Here is crystalline Re4PtRh at its relaxed geometry from Alexandria via LeMat-Bulk. Energies are from PBE.

Cell lengths 5.1369, 5.1369, 5.1369 Å; angles 60.00, 60.00, 60.00 degrees
Fractional positions:
Re: 0.6251 0.6251 0.6251
Re: 0.6251 0.6251 0.1246
Re: 0.1246 0.6251 0.6251
Re: 0.6251 0.1246 0.6251
Pt: 0.0000 0.0000 0.0000
Rh: 0.2500 0.2500 0.2500

Summary:
Its formation energy is 0.4096 eV per atom. For the calculated total energy, the calculation gives -10.12 eV/atom.

Record 13
Here is crystalline RePtRh at its relaxed geometry from Alexandria via LeMat-Bulk. Energies are from PBE.

Cell lengths 4.2207, 4.2207, 4.2207 Å; angles 60.00, 60.00, 60.00 degrees
Fractional positions:
Pt: 0.5000 0.5000 0.5000
Re: 0.2500 0.2500 0.2500
Rh: 0.0000 0.0000 0.0000

Summary:
Its formation energy is 0.4549 eV per atom. For the calculated total energy, the calculation gives -8.16 eV/atom.

Record 14
Here is crystalline RePt2Rh at its relaxed geometry from Alexandria via LeMat-Bulk. Energies are from PBE.

Cell lengths 2.7467, 2.7467, 7.9702 Å; angles 90.00, 90.00, 90.00 degrees
Fractional positions:
Re: 0.0000 0.0000 0.5065
Pt: 0.0000 0.0000 0.9959
Pt: 0.5000 0.5000 0.2613
Rh: 0.5000 0.5000 0.7363

Summary:
Its formation energy is -0.1588 eV per atom. For the calculated total energy, the calculation gives -8.13 eV/atom.

Record 15
Here is crystalline RePt2Rh3 at its relaxed geometry from Alexandria via LeMat-Bulk. Energies are from PBE.

Cell lengths 2.7317, 5.4804, 12.2319 Å; angles 90.00, 90.00, 90.00 degrees
Fractional positions:
Re: 0.5000 0.0000 0.5000
Re: 0.0000 0.5000 0.0000
Pt: 0.0000 0.7473 0.6562
Pt: 0.5000 0.2473 0.8438
Pt: 0.0000 0.2527 0.3438
Pt: 0.5000 0.7527 0.1562
Rh: 0.0000 0.0000 0.0000
Rh: 0.5000 0.7512 0.8479
Rh: 0.5000 0.2488 0.1521
Rh: 0.0000 0.7488 0.3479
Rh: 0.5000 0.5000 0.5000
Rh: 0.0000 0.2512 0.6521

Summary:
Its formation energy is 0.0111 eV per atom. For the calculated total energy, the calculation gives -7.75 eV/atom.

Record 16
Here is crystalline ScRe2PtRh at its relaxed geometry from Alexandria via LeMat-Bulk. Energies are from PBE.

Cell lengths 4.7101, 4.8869, 4.7101 Å; angles 90.00, 90.00, 90.00 degrees
Fractional positions:
Re: 0.0000 0.0000 0.5000
Re: 0.5000 0.0000 0.0000
Sc: 0.5000 0.5000 0.5000
Rh: 0.0000 0.5000 0.0000
Pt: 0.0000 0.0000 0.0000

Summary:
Its formation energy is 1.5355 eV per atom. For the calculated total energy, the calculation gives -7.39 eV/atom.

Record 17
Here is crystalline Ti5RePt2Rh2 at its relaxed geometry from Alexandria via LeMat-Bulk. Energies are from PBE.

Cell lengths 2.9619, 10.6051, 10.6051 Å; angles 90.00, 90.00, 90.00 degrees
Fractional positions:
Ti: 0.5000 0.6532 0.3642
Ti: 0.5000 0.3642 0.3468
Ti: 0.5000 0.8468 0.8642
Ti: 0.5000 0.0000 0.5000
Ti: 0.5000 0.3468 0.6358
Ti: 0.5000 0.1532 0.1358
Ti: 0.5000 0.5000 0.0000
Ti: 0.5000 0.8642 0.1532
Ti: 0.5000 0.6358 0.6532
Ti: 0.5000 0.1358 0.8468
Rh: 0.0000 0.1442 0.6442
Rh: 0.0000 0.8558 0.3558
Rh: 0.0000 0.6442 0.8558
Rh: 0.0000 0.3558 0.1442
Re: 0.0000 0.5000 0.5000
Re: 0.0000 0.0000 0.0000
Pt: 0.0000 0.1518 0.3482
Pt: 0.0000 0.6518 0.1518
Pt: 0.0000 0.8482 0.6518
Pt: 0.0000 0.3482 0.8482

Summary:
Its formation energy is -0.4759 eV per atom. For the calculated total energy, the calculation gives -8.35 eV/atom.

Record 18
Here is crystalline V2RePtRh5 at its relaxed geometry from Alexandria via LeMat-Bulk. Energies are from PBE.

Cell lengths 7.0130, 7.0130, 7.4016 Å; angles 118.28, 118.28, 90.00 degrees
Site moments in Bohr magnetons follow the coordinates.
Fractional positions:
Rh: 0.9131 0.4131 0.2635  0.01
Rh: 0.3504 0.8504 0.2635  0.01
Rh: 0.5869 0.6496 0.7365  0.01
Rh: 0.6496 0.1496 0.7365  0.01
Rh: 0.0869 0.5869 0.7365  0.01
Rh: 0.8504 0.9131 0.2635  0.01
Rh: 0.4131 0.3504 0.2635  0.01
Rh: 0.5000 0.5000 0.0000  0.01
Rh: 0.0000 0.0000 0.0000  0.01
Rh: 0.1496 0.0869 0.7365  0.01
V: 0.1097 0.3903 0.0000  0.23
V: 0.6097 0.1097 0.0000  0.23
V: 0.8903 0.6097 0.0000  0.23
V: 0.3903 0.8903 0.0000  0.23
Pt: 0.7500 0.2500 0.5000  0.00
Pt: 0.2500 0.7500 0.5000  0.00
Re: 0.7500 0.7500 0.5000  0.03
Re: 0.2500 0.2500 0.5000  0.03

Summary:
Its formation energy is 0.2248 eV per atom. For the calculated total energy, the calculation gives -7.94 eV/atom.

Record 19
Here is crystalline RePtRh5W2 at its relaxed geometry from Alexandria via LeMat-Bulk. Energies are from PBE.

Cell lengths 7.3073, 7.3073, 7.5238 Å; angles 119.05, 119.05, 90.00 degrees
Fractional positions:
W: 0.3847 0.8847 0.0000
W: 0.6153 0.1153 0.0000
W: 0.1153 0.3847 0.0000
W: 0.8847 0.6153 0.0000
Rh: 0.5000 0.5000 0.0000
Rh: 0.9252 0.4252 0.2697
Rh: 0.6555 0.1555 0.7303
Rh: 0.1555 0.0748 0.7303
Rh: 0.0000 0.0000 0.0000
Rh: 0.3445 0.8445 0.2697
Rh: 0.5748 0.6555 0.7303
Rh: 0.0748 0.5748 0.7303
Rh: 0.8445 0.9252 0.2697
Rh: 0.4252 0.3445 0.2697
Re: 0.2500 0.2500 0.5000
Re: 0.7500 0.7500 0.5000
Pt: 0.7500 0.2500 0.5000
Pt: 0.2500 0.7500 0.5000

Summary:
Its formation energy is 0.5651 eV per atom. For the calculated total energy, the calculation gives -8.45 eV/atom.

Record 20
Here is crystalline ReRuPt at its relaxed geometry from Alexandria via LeMat-Bulk. Energies are from PBE.

Cell lengths 2.7535, 2.7535, 6.7891 Å; angles 90.00, 90.00, 120.00 degrees
Fractional positions:
Pt: 0.0000 0.0000 0.0015
Ru: 0.3333 0.6667 0.6533
Re: 0.6667 0.3333 0.3452

Summary:
Its formation energy is -0.0453 eV per atom. For the calculated total energy, the calculation gives -9.30 eV/atom.